(1)
VASP calculation (PBE) on a relaxed AlTe3 crystal.

Lattice parameters (Å, degrees): 5.413 5.413 5.413 90.00 90.00 90.00
Space group Pm-3m (No. 221)
Inequivalent atoms, fractional coordinates:
Al 0.000 0.000 0.000 (multiplicity 1)
Te 0.000 0.000 0.500 (multiplicity 3)

Properties
The calculation puts the raw formation energy at 0.33 eV per atom. Its total magnetic moment is 0.00 μB/atom.

***

(2)
VASP calculation (PBE) on a relaxed Sc2RuCl crystal.

Lattice parameters (Å, degrees): 3.185 3.185 7.546 90.00 90.00 90.00
Space group P4/mmm (No. 123)
Inequivalent atoms, fractional coordinates:
Sc 0.000 0.000 0.209 (multiplicity 2)
Ru 0.500 0.500 0.000 (multiplicity 1)
Cl 0.500 0.500 0.500 (multiplicity 1)

Properties
Its distance to the lowest polymorph of the same formula is 0.105 eV per atom. The calculation puts the raw formation energy at -0.89 eV per atom. Its total magnetic moment is 0.00 μB/atom.

***

(3)
VASP calculation (PBE) on a relaxed PrDy3Er3 crystal.

Lattice parameters (Å, degrees): 8.5983 8.5983 21.7873 90.00 90.00 120.00
Space group R-3 (No. 148, hexagonal axes)
Inequivalent atoms, fractional coordinates:
Pr 0.0000 0.0000 0.1510 (multiplicity 6)
Dy 0.0561 0.4492 0.3793 (multiplicity 18)
Er 0.0052 0.2312 0.5592 (multiplicity 18)

Properties
For the formation energy from the elements, the calculation gives 0.215 eV per atom. Its distance to the lowest polymorph of the same formula is 0.000 eV per atom. Its total magnetic moment is 0.00 μB/atom.

***

(4)
VASP calculation (PBE) on a relaxed Ce3NdO crystal.

Lattice parameters (Å, degrees): 4.955 4.955 4.955 90.00 90.00 90.00
Space group Pm-3m (No. 221)
Inequivalent atoms, fractional coordinates:
Ce 0.000 0.000 0.500 (multiplicity 3)
Nd 0.500 0.500 0.500 (multiplicity 1)
O 0.000 0.000 0.000 (multiplicity 1)

Properties
The calculation puts the raw formation energy at -1.07 eV per atom. Its total magnetic moment is 0.00 μB/atom.

***

(5)
VASP calculation (PBE) on a relaxed PrNdPtBr crystal.

Lattice parameters (Å, degrees): 4.2219 4.2219 23.7146 90.00 90.00 120.00
Space group R3m (No. 160, hexagonal axes)
Inequivalent atoms, fractional coordinates:
Pr 0.0000 0.0000 0.0000 (multiplicity 3)
Nd 0.0000 0.0000 0.2021 (multiplicity 3)
Pt 0.0000 0.0000 0.6003 (multiplicity 3)
Br 0.0000 0.0000 0.7707 (multiplicity 3)

Properties
The calculation puts the raw formation energy at -1.22 eV per atom. Its total magnetic moment is 0.00 μB/atom.

***

(6)
VASP calculation (PBE) on a relaxed Li2HgPd9 crystal.

Lattice parameters (Å, degrees): 3.958 3.958 11.767 90.00 90.00 90.00
Space group P4/mmm (No. 123)
Inequivalent atoms, fractional coordinates:
Li 0.000 0.000 0.160 (multiplicity 2)
Hg 0.000 0.000 0.500 (multiplicity 1)
Pd 0.000 0.500 0.000 (multiplicity 2)
Pd 0.000 0.500 0.322 (multiplicity 4)
Pd 0.500 0.500 0.160 (multiplicity 2)
Pd 0.500 0.500 0.500 (multiplicity 1)

Properties
For the formation energy from the elements, the calculation gives -0.193 eV per atom. Its total magnetic moment is 0.00 μB/atom.

***

(7)
VASP calculation (PBE) on a relaxed YAl8Ni2 crystal.

Lattice parameters (Å, degrees): 5.597 5.597 7.711 90.00 90.00 90.00
Space group P4/mmm (No. 123)
Inequivalent atoms, fractional coordinates:
Y 0.000 0.000 0.000 (multiplicity 1)
Al 0.250 0.250 0.317 (multiplicity 8)
Ni 0.000 0.500 0.500 (multiplicity 2)

Properties
For the formation energy from the elements, the calculation gives 0.014 eV per atom. Its total magnetic moment is 0.00 μB/atom.

***

(8)
VASP calculation (PBE) on a relaxed KSr2Cu crystal.

Lattice parameters (Å, degrees): 4.5051 4.5051 32.7916 90.00 90.00 120.00
Space group R3m (No. 160, hexagonal axes)
Inequivalent atoms, fractional coordinates:
K 0.0000 0.0000 0.0000 (multiplicity 3)
Sr 0.0000 0.0000 0.2184 (multiplicity 3)
Sr 0.0000 0.0000 0.4496 (multiplicity 3)
Cu 0.0000 0.0000 0.8342 (multiplicity 3)

Properties
For the formation energy from the elements, the calculation gives 0.028 eV per atom. Its distance to the lowest polymorph of the same formula is 0.000 eV per atom. Its total magnetic moment is 0.00 μB/atom.

***

(9)
VASP calculation (PBE) on a relaxed ZrTiO crystal.

Lattice parameters (Å, degrees): 5.374 5.050 6.312 90.00 90.25 90.00
Space group P2_1/c (No. 14)
Inequivalent atoms, fractional coordinates:
Zr 0.086 0.241 0.377 (multiplicity 4)
Ti 0.418 0.748 0.870 (multiplicity 4)
O 0.269 0.509 0.622 (multiplicity 4)

Properties
Its distance to the lowest polymorph of the same formula is 0.000 eV per atom. The calculation puts the raw formation energy at -1.74 eV per atom. Its total magnetic moment is 0.00 μB/atom.

***

(10)
VASP calculation (PBE) on a relaxed AlZnW2 crystal.

Lattice parameters (Å, degrees): 6.998 6.998 5.355 90.00 90.00 90.00
Space group I-42d (No. 122)
Inequivalent atoms, fractional coordinates:
Al 0.000 0.000 0.000 (multiplicity 4)
Zn 0.000 0.000 0.500 (multiplicity 4)
W 0.249 0.750 0.625 (multiplicity 8)

Properties
For the formation energy from the elements, the calculation gives 0.776 eV per atom. Its distance to the lowest polymorph of the same formula is 0.714 eV per atom. Its total magnetic moment is 0.00 μB/atom.

***

(11)
VASP calculation (PBE) on a relaxed KZn3Hg crystal.

Lattice parameters (Å, degrees): 6.569 6.569 6.569 90.00 90.00 90.00
Space group Pm-3m (No. 221)
Inequivalent atoms, fractional coordinates:
K 0.000 0.000 0.000 (multiplicity 1)
Zn 0.000 0.000 0.500 (multiplicity 3)
Hg 0.500 0.500 0.500 (multiplicity 1)

Properties
For the formation energy from the elements, the calculation gives 0.646 eV per atom. Its distance to the lowest polymorph of the same formula is 0.446 eV per atom. Its total magnetic moment is 0.00 μB/atom.

***

(12)
VASP calculation (PBE) on a relaxed Sc2ReAg crystal.

Lattice parameters (Å, degrees): 8.927 3.148 5.550 90.00 102.56 90.00
Space group C2/m (No. 12)
Inequivalent atoms, fractional coordinates:
Sc 0.241 0.000 0.231 (multiplicity 4)
Re 0.000 0.500 0.000 (multiplicity 2)
Ag 0.000 0.000 0.500 (multiplicity 2)

Properties
For the formation energy from the elements, the calculation gives 0.163 eV per atom. Its total magnetic moment is 0.00 μB/atom.

***

(13)
VASP calculation (PBE) on a relaxed KScBr crystal.

Lattice parameters (Å, degrees): 3.7086 3.7086 7.7703 90.00 90.00 120.00
Space group P3m1 (No. 156)
Inequivalent atoms, fractional coordinates:
K 0.0000 0.0000 0.0000 (multiplicity 1)
Sc 0.6667 0.3333 0.4174 (multiplicity 1)
Br 0.3333 0.6667 0.6622 (multiplicity 1)

Properties
Its distance to the lowest polymorph of the same formula is 0.000 eV per atom. The calculation puts the raw formation energy at -0.53 eV per atom. Its total magnetic moment is 0.34 μB/atom.

***

(14)
VASP calculation (PBE) on a relaxed InTe3N crystal.

Lattice parameters (Å, degrees): 5.614 5.614 5.614 90.00 90.00 90.00
Space group Pm-3m (No. 221)
Inequivalent atoms, fractional coordinates:
In 0.000 0.000 0.000 (multiplicity 1)
Te 0.000 0.000 0.500 (multiplicity 3)
N 0.500 0.500 0.500 (multiplicity 1)

Properties
Its distance to the lowest polymorph of the same formula is 1.248 eV per atom. The calculation puts the raw formation energy at 1.82 eV per atom. Its total magnetic moment is 0.00 μB/atom.